Entry 1:
Here is an optimized crystal structure of La2Nb2N2O5 from Alexandria via LeMat-Bulk. Energies are from GGA-PBEsol.

Calculated values
Uncorrected formation energy   -27.79 eV/f.u.
Energy relative to the lowest polymorph listed for this composition   0 meV/atom
Electronic total energy   -206.8 eV/cell

Cell lengths 13.160, 13.160, 5.696 Å; angles 90.00, 90.00, 162.58 degrees
Sites, in units of the cell vectors:
1 La 0.051 0.949 0.500
2 La 0.201 0.799 0.067
3 La 0.799 0.201 0.567
4 La 0.949 0.051 0.000
5 Nb 0.336 0.664 0.020
6 Nb 0.439 0.561 0.491
7 Nb 0.561 0.439 0.991
8 Nb 0.664 0.336 0.520
9 N 0.048 0.952 0.951
10 N 0.152 0.848 0.469
11 N 0.848 0.152 0.969
12 N 0.952 0.048 0.451
13 O 0.278 0.722 0.804
14 O 0.297 0.703 0.299
15 O 0.375 0.625 0.648
16 O 0.411 0.589 0.155
17 O 0.484 0.516 0.772
18 O 0.516 0.484 0.272
19 O 0.589 0.411 0.655
20 O 0.625 0.375 0.148
21 O 0.703 0.297 0.799
22 O 0.722 0.278 0.304

=====

Entry 2:
Here is an optimized crystal structure of LaNbTeN2 from Alexandria via LeMat-Bulk. Energies are from GGA-PBEsol.

Calculated values
Uncorrected formation energy   6.09 eV/f.u.
Electronic total energy   -30.7 eV/cell

Cell lengths 4.288, 4.288, 5.114 Å; angles 90.00, 90.00, 90.00 degrees
Sites, in units of the cell vectors:
1 La 0.000 0.000 0.000
2 Nb 0.500 0.500 0.000
3 Te 0.500 0.500 0.500
4 N 0.000 0.500 0.500
5 N 0.500 0.000 0.500

=====

Entry 3:
Here is an optimized crystal structure of LaNiNO2 from Alexandria via LeMat-Bulk. Energies are from GGA-PBEsol.

Calculated values
Uncorrected formation energy   -7.32 eV/f.u.
Electronic total energy   -37.9 eV/cell

Cell lengths 3.895, 3.895, 3.609 Å; angles 90.00, 90.00, 90.00 degrees
Sites, in units of the cell vectors:
1 La 0.000 0.000 0.000
2 Ni 0.500 0.500 0.500
3 N 0.500 0.500 0.000
4 O 0.000 0.500 0.500
5 O 0.500 0.000 0.500

=====

Entry 4:
Here is an optimized crystal structure of LaTaNi2N from Alexandria via LeMat-Bulk. Energies are from GGA-PBEsol.

Calculated values
Uncorrected formation energy   13.94 eV/f.u.
Electronic total energy   -24.8 eV/cell

Cell lengths 4.364, 4.364, 5.239 Å; angles 90.00, 90.00, 90.00 degrees
Sites, in units of the cell vectors:
1 La 0.000 0.000 0.000
2 Ta 0.000 0.000 0.500
3 Ni 0.000 0.500 0.000
4 Ni 0.500 0.000 0.000
5 N 0.500 0.500 0.500

=====

Entry 5:
Here is an optimized crystal structure of La3NO from Alexandria via LeMat-Bulk. Energies are from GGA-PBEsol.

Calculated values
Uncorrected formation energy   -3.50 eV/f.u.
Electronic total energy   -33.3 eV/cell

Cell lengths 4.731, 4.731, 4.731 Å; angles 90.00, 90.00, 90.00 degrees
Sites, in units of the cell vectors:
1 La 0.000 0.000 0.500
2 La 0.000 0.500 0.000
3 La 0.500 0.000 0.000
4 N 0.500 0.500 0.500
5 O 0.000 0.000 0.000

=====

Entry 6:
Here is an optimized crystal structure of LaOsN2O from Alexandria via LeMat-Bulk. Energies are from GGA-PBEsol.

Calculated values
Uncorrected formation energy   8.37 eV/f.u.
Electronic total energy   -31.5 eV/cell

Cell lengths 4.343, 4.343, 4.274 Å; angles 90.00, 90.00, 90.00 degrees
Sites, in units of the cell vectors:
1 La 0.000 0.000 0.000
2 Os 0.500 0.500 0.500
3 N 0.000 0.500 0.000
4 N 0.500 0.000 0.000
5 O 0.000 0.000 0.500

=====

Entry 7:
Here is an optimized crystal structure of LaPNO2 from Alexandria via LeMat-Bulk. Energies are from GGA-PBEsol.

Calculated values
Uncorrected formation energy   1.95 eV/f.u.
Electronic total energy   -28.2 eV/cell

Cell lengths 4.133, 4.133, 6.475 Å; angles 90.00, 90.00, 90.00 degrees
Sites, in units of the cell vectors:
1 La 0.000 0.000 0.000
2 P 0.000 0.000 0.500
3 N 0.500 0.500 0.500
4 O 0.000 0.500 0.000
5 O 0.500 0.000 0.000

=====

Entry 8:
Here is an optimized crystal structure of LaPdN2O from Alexandria via LeMat-Bulk. Energies are from GGA-PBEsol.

Calculated values
Uncorrected formation energy   -2.14 eV/f.u.
Electronic total energy   -35.8 eV/cell

Cell lengths 3.895, 3.895, 4.091 Å; angles 90.00, 90.00, 90.00 degrees
Sites, in units of the cell vectors:
1 La 0.000 0.000 0.000
2 Pd 0.500 0.500 0.500
3 N 0.000 0.500 0.500
4 N 0.500 0.000 0.500
5 O 0.500 0.500 0.000